BiSe2IBr: single point on PBEsol structure, meta-GGA SCAN.

abc: 5.473 5.560 5.560
angles: 90.00 90.00 90.00
Site moments in Bohr magnetons follow the coordinates.
Fractional positions:
1 Br 0.500 0.000 0.000  0.03
2 Bi 0.000 0.000 0.000  0.02
3 Se 0.000 0.000 0.500  0.57
4 I 0.500 0.500 0.500  0.62
5 Se 0.000 0.500 0.000  0.57

Properties
* total magnetization: 2.9 Bohr magnetons per cell
* calculated volume: 33.8 A^3/atom
* formation energy from raw total energies: 336 meV/atom


InBiBr2: single point on PBEsol structure, meta-GGA SCAN.

abc: 4.867 4.867 10.621
angles: 103.24 103.24 90.00
Fractional positions:
1 Br 0.125 0.116 0.750
2 Bi 0.000 0.000 0.000
3 Bi 0.250 0.750 0.500
4 Br 0.625 0.634 0.750
5 In 0.750 0.250 0.500
6 In 0.500 0.500 0.000
7 Br 0.884 0.375 0.250
8 Br 0.366 0.875 0.250

Properties
* total magnetization: 0.0 Bohr magnetons per cell
* calculated volume: 29.7 A^3/atom
* formation energy from raw total energies: -192 meV/atom


InBi2Se4Br: single point on PBEsol structure, meta-GGA SCAN.

abc: 4.049 6.754 8.693
angles: 67.92 76.53 72.56
Fractional positions:
1 Bi 0.205 0.316 0.274
2 In 0.000 0.000 0.000
3 Se 0.160 0.002 0.678
4 Se 0.626 0.688 0.060
5 Se 0.374 0.312 0.940
6 Br 0.500 0.500 0.500
7 Se 0.840 0.998 0.322
8 Bi 0.795 0.684 0.726

Properties
* total magnetization: 0.0 Bohr magnetons per cell
* calculated volume: 26.0 A^3/atom
* formation energy from raw total energies: -464 meV/atom


ZrInBiBr2: single point on PBEsol structure, meta-GGA SCAN.

abc: 5.193 5.193 5.888
angles: 90.00 90.00 90.00
Site moments in Bohr magnetons follow the coordinates.
Fractional positions:
1 Bi 0.000 0.000 0.500  -0.16
2 Br 0.500 0.000 0.000  0.00
3 Br 0.000 0.500 0.000  0.00
4 In 0.000 0.000 0.000  0.00
5 Zr 0.500 0.500 0.500  1.24

Properties
* total magnetization: 1.6 Bohr magnetons per cell
* calculated volume: 31.8 A^3/atom
* formation energy from raw total energies: 278 meV/atom


BiIrBr2: single point on PBEsol structure, meta-GGA SCAN.

abc: 5.122 7.690 7.690
angles: 83.63 70.55 70.55
Fractional positions:
1 Bi 0.750 0.500 0.500
2 Br 0.875 0.750 0.750
3 Br 0.375 0.250 0.750
4 Bi 0.000 0.000 0.000
5 Ir 0.500 0.000 0.000
6 Br 0.375 0.750 0.250
7 Ir 0.250 0.500 0.500
8 Br 0.375 0.250 0.250

Properties
* total magnetization: 0.0 Bohr magnetons per cell
* calculated volume: 33.7 A^3/atom
* formation energy from raw total energies: 398 meV/atom


BiMoIrBr2: single point on PBEsol structure, meta-GGA SCAN.

abc: 4.833 4.833 4.960
angles: 90.00 90.00 90.00
Fractional positions:
1 Bi 0.500 0.500 0.500
2 Br 0.500 0.000 0.000
3 Br 0.000 0.500 0.000
4 Mo 0.000 0.000 0.000
5 Ir 0.000 0.000 0.500

Properties
* total magnetization: 0.0 Bohr magnetons per cell
* calculated volume: 23.2 A^3/atom
* formation energy from raw total energies: 842 meV/atom


Na2BiIrBr: single point on PBEsol structure, meta-GGA SCAN.

abc: 4.503 5.784 5.784
angles: 90.00 90.00 90.00
Site moments in Bohr magnetons follow the coordinates.
Fractional positions:
1 Na 0.000 0.000 0.500  0.00
2 Bi 0.500 0.500 0.500  0.61
3 Ir 0.000 0.000 0.000  0.12
4 Br 0.500 0.000 0.000  0.04
5 Na 0.000 0.500 0.000  0.00

Properties
* total magnetization: 1.3 Bohr magnetons per cell
* calculated volume: 30.1 A^3/atom
* formation energy from raw total energies: 499 meV/atom


Li3BiBr: single point on PBEsol structure, meta-GGA SCAN.

abc: 4.828 4.828 4.828
angles: 90.00 90.00 90.00
Fractional positions:
1 Li 0.000 0.000 0.500
2 Bi 0.500 0.500 0.500
3 Li 0.500 0.000 0.000
4 Li 0.000 0.500 0.000
5 Br 0.000 0.000 0.000

Properties
* total magnetization: 0.0 Bohr magnetons per cell
* calculated volume: 22.5 A^3/atom
* formation energy from raw total energies: -703 meV/atom


LiBiRhBr2: single point on PBEsol structure, meta-GGA SCAN.

abc: 4.433 4.433 6.058
angles: 90.00 90.00 90.00
Site moments in Bohr magnetons follow the coordinates.
Fractional positions:
1 Rh 0.500 0.500 0.500  1.23
2 Bi 0.000 0.000 0.500  -0.06
3 Br 0.000 0.500 0.000  0.02
4 Br 0.500 0.000 0.000  0.02
5 Li 0.000 0.000 0.000  0.00

Properties
* total magnetization: 1.3 Bohr magnetons per cell
* calculated volume: 23.8 A^3/atom
* formation energy from raw total energies: 286 meV/atom


MnBiBr2: single point on PBEsol structure, meta-GGA SCAN.

abc: 6.906 6.906 6.906
angles: 133.39 99.01 99.01
Site moments in Bohr magnetons follow the coordinates.
Fractional positions:
1 Mn 0.000 0.500 0.500  4.06
2 Bi 0.500 0.750 0.250  -0.24
3 Br 0.634 0.375 0.509  0.00
4 Br 0.134 0.259 0.625  0.00
5 Br 0.866 0.491 0.125  0.00
6 Mn 0.500 0.250 0.750  4.06
7 Bi 0.000 0.000 0.000  -0.24
8 Br 0.366 0.875 0.741  0.00

Properties
* total magnetization: 7.8 Bohr magnetons per cell
* calculated volume: 27.5 A^3/atom
* formation energy from raw total energies: -199 meV/atom


BiMoBr3: single point on PBEsol structure, meta-GGA SCAN.

abc: 5.681 5.681 5.681
angles: 90.00 90.00 90.00
Site moments in Bohr magnetons follow the coordinates.
Fractional positions:
1 Br 0.500 0.000 0.000  0.01
2 Br 0.000 0.500 0.000  0.01
3 Mo 0.500 0.500 0.500  4.48
4 Br 0.000 0.000 0.500  0.01
5 Bi 0.000 0.000 0.000  0.07

Properties
* total magnetization: 5.5 Bohr magnetons per cell
* calculated volume: 36.7 A^3/atom
* formation energy from raw total energies: 534 meV/atom


BiSb2MoBr: single point on PBEsol structure, meta-GGA SCAN.

abc: 4.603 5.528 5.528
angles: 90.00 90.00 90.00
Site moments in Bohr magnetons follow the coordinates.
Fractional positions:
1 Sb 0.000 0.000 0.500  -0.06
2 Bi 0.500 0.500 0.500  -0.01
3 Br 0.000 0.000 0.000  0.00
4 Mo 0.500 0.000 0.000  2.87
5 Sb 0.000 0.500 0.000  -0.06

Properties
* total magnetization: 2.9 Bohr magnetons per cell
* calculated volume: 28.1 A^3/atom
* formation energy from raw total energies: 1332 meV/atom


SiBiMoBr2: single point on PBEsol structure, meta-GGA SCAN.

abc: 4.880 4.880 5.125
angles: 90.00 90.00 90.00
Site moments in Bohr magnetons follow the coordinates.
Fractional positions:
1 Mo 0.000 0.000 0.000  1.88
2 Br 0.500 0.000 0.000  0.05
3 Bi 0.500 0.500 0.500  0.23
4 Br 0.000 0.500 0.000  0.05
5 Si 0.000 0.000 0.500  -0.06

Properties
* total magnetization: 2.4 Bohr magnetons per cell
* calculated volume: 24.4 A^3/atom
* formation energy from raw total energies: 636 meV/atom


BiBr2N2: single point on PBEsol structure, meta-GGA SCAN.

abc: 3.563 7.619 7.619
angles: 90.00 90.00 90.00
Fractional positions:
1 Br 0.000 0.656 0.156
2 Br 0.000 0.344 0.844
3 N 0.500 0.756 0.744
4 Bi 0.000 0.000 0.000
5 Bi 0.000 0.500 0.500
6 Br 0.000 0.844 0.656
7 N 0.500 0.244 0.256
8 N 0.500 0.744 0.244
9 N 0.500 0.256 0.756
10 Br 0.000 0.156 0.344

Properties
* total magnetization: 0.0 Bohr magnetons per cell
* calculated volume: 20.7 A^3/atom
* formation energy from raw total energies: 1764 meV/atom


BiBr3N: single point on PBEsol structure, meta-GGA SCAN.

abc: 4.705 4.705 4.705
angles: 90.00 90.00 90.00
Site moments in Bohr magnetons follow the coordinates.
Fractional positions:
1 Br 0.000 0.500 0.000  0.02
2 Br 0.000 0.000 0.500  0.02
3 Bi 0.500 0.500 0.500  0.00
4 Br 0.500 0.000 0.000  0.02
5 N 0.000 0.000 0.000  0.15

Properties
* total magnetization: 0.3 Bohr magnetons per cell
* calculated volume: 20.8 A^3/atom
* formation energy from raw total energies: 884 meV/atom


BiBrNO2: single point on PBEsol structure, meta-GGA SCAN.

abc: 4.102 4.102 4.583
angles: 90.00 90.00 90.00
Site moments in Bohr magnetons follow the coordinates.
Fractional positions:
1 Bi 0.000 0.000 0.000  0.03
2 Br 0.500 0.500 0.500  0.34
3 O 0.500 0.000 0.000  0.21
4 O 0.000 0.500 0.000  0.21
5 N 0.000 0.000 0.500  -1.17

Properties
* total magnetization: 0.7 Bohr magnetons per cell
* calculated volume: 15.4 A^3/atom
* formation energy from raw total energies: 803 meV/atom


BiTeBrN2: single point on PBEsol structure, meta-GGA SCAN.

abc: 4.298 4.298 5.425
angles: 90.00 90.00 90.00
Site moments in Bohr magnetons follow the coordinates.
Fractional positions:
1 N 0.500 0.000 0.000  0.66
2 Bi 0.500 0.500 0.500  -0.18
3 Te 0.000 0.000 0.500  0.03
4 N 0.000 0.500 0.000  0.66
5 Br 0.000 0.000 0.000  -0.01

Properties
* total magnetization: 1.6 Bohr magnetons per cell
* calculated volume: 20.0 A^3/atom
* formation energy from raw total energies: 2023 meV/atom


Bi4Br2O5: single point on PBEsol structure, meta-GGA SCAN.

abc: 5.615 10.801 14.466
angles: 97.52 90.00 90.00
Fractional positions:
1 Br 0.738 0.950 0.775
2 O 0.675 0.461 0.703
3 O 0.175 0.539 0.297
4 Bi 0.238 0.081 0.457
5 Bi 0.738 0.919 0.543
6 Bi 0.805 0.559 0.219
7 Br 0.220 0.378 0.549
8 Bi 0.233 0.795 0.847
9 O 0.992 0.647 0.800
10 Bi 0.732 0.652 0.694
11 O 0.493 0.657 0.809
12 Bi 0.742 0.908 0.291
13 O 0.492 0.353 0.200
14 Br 0.222 0.123 0.937
15 Bi 0.733 0.205 0.153
16 Bi 0.326 0.402 0.044
17 O 0.983 0.918 0.419
18 Bi 0.305 0.441 0.781
19 Bi 0.778 0.263 0.880
20 O 0.996 0.751 0.257
21 O 0.995 0.078 0.580
22 O 0.687 0.295 0.034
23 O 0.006 0.256 0.737
24 O 0.506 0.744 0.263
25 Bi 0.278 0.737 0.120
26 Bi 0.232 0.348 0.306
27 Br 0.238 0.050 0.225
28 O 0.026 0.423 0.911
29 Br 0.722 0.877 0.063
30 O 0.523 0.426 0.905
31 Br 0.720 0.622 0.451
32 Br 0.737 0.215 0.382
33 Br 0.237 0.785 0.618
34 O 0.526 0.577 0.089
35 Bi 0.246 0.726 0.376
36 Bi 0.826 0.598 0.956
37 O 0.483 0.082 0.581
38 O 0.187 0.705 0.966
39 Bi 0.746 0.274 0.624
40 O 0.496 0.249 0.743
41 O 0.495 0.922 0.420
42 O 0.993 0.343 0.191
43 Bi 0.242 0.092 0.709
44 O 0.023 0.574 0.095

Properties
* total magnetization: 0.0 Bohr magnetons per cell
* calculated volume: 19.8 A^3/atom
* formation energy from raw total energies: -1133 meV/atom


BiBrO: single point on PBEsol structure, meta-GGA SCAN.

abc: 3.904 3.904 8.235
angles: 90.00 90.00 90.00
Fractional positions:
1 Bi 0.500 0.000 0.153
2 O 0.000 0.000 0.000
3 Bi 0.000 0.500 0.847
4 Br 0.500 0.000 0.661
5 Br 0.000 0.500 0.339
6 O 0.500 0.500 0.000

Properties
* total magnetization: 0.0 Bohr magnetons per cell
* calculated volume: 20.9 A^3/atom
* formation energy from raw total energies: -1096 meV/atom


BiSe2BrO: single point on PBEsol structure, meta-GGA SCAN.

abc: 5.566 5.566 5.572
angles: 90.00 90.00 90.00
Site moments in Bohr magnetons follow the coordinates.
Fractional positions:
1 Bi 0.000 0.000 0.000  -0.01
2 Se 0.500 0.000 0.000  0.59
3 O 0.500 0.500 0.500  1.52
4 Br 0.000 0.000 0.500  0.06
5 Se 0.000 0.500 0.000  0.59

Properties
* total magnetization: 3.9 Bohr magnetons per cell
* calculated volume: 34.5 A^3/atom
* formation energy from raw total energies: 844 meV/atom